Below is an optimized crystal structure of CaFeI2O, with properties calculated at the PBE+U level.

Raw total energy (Ha/atom): -0.151
Total magnetization (μB per cell): 3.90
D(E_F) (states/eV per cell): 0.88

Cell: 5.7638 5.7638 3.8378 Å, 90.00 90.00 90.00°
With the nearest neighbours (Å) after each atom.
Element x y z (fractional)
Fe1 0.0000 0.0000 0.0000  2 O 1.92
I1 0.5000 0.0000 0.0000  2 Fe 2.88
I2 0.0000 0.5000 0.0000  2 Fe 2.88
Ca1 0.5000 0.5000 0.5000  8 I 3.46, 2 Ca 3.84
O1 0.0000 0.0000 0.5000  2 Fe 1.92